# PBE-GGA Sr4Pd4O11, relaxed
data_Sr4Pd4O11
_chemical_formula_sum 'Sr4 Pd4 O11'
_cell_length_a 5.641
_cell_length_b 5.637
_cell_length_c 7.896
_cell_angle_alpha 90.44
_cell_angle_beta 89.28
_cell_angle_gamma 89.43
_symmetry_space_group_name_H-M 'P 1'
_symmetry_Int_Tables_number 1
loop_
_symmetry_equiv_pos_as_xyz
'x,y,z'
loop_
_atom_site_label
_atom_site_fract_x
_atom_site_fract_y
_atom_site_fract_z
O1 0.787 0.786 0.047
O2 0.439 0.033 0.248
O3 0.074 0.463 0.248
O4 0.709 0.292 0.449
O5 0.796 0.792 0.457
O6 0.297 0.704 0.529
O7 0.205 0.204 0.547
O8 0.593 0.033 0.752
O9 0.903 0.507 0.753
O10 0.211 0.209 0.953
O11 0.285 0.714 0.978
Pd1 0.994 0.494 0.501
Pd2 0.506 0.003 0.501
Pd3 0.507 0.999 0.998
Pd4 0.993 0.491 0.999
Sr1 0.499 0.547 0.251
Sr2 0.014 0.023 0.252
Sr3 0.475 0.463 0.744
Sr4 0.013 0.947 0.752
# Calculated total energy in eV/atom: -5.71
# Space-group type: P1, No. 1